No. 1
# GGA-PBE PrNd6Tm2, optimized geometry
data_PrNd6Tm2
_chemical_formula_sum 'Pr1 Nd6 Tm2'
_symmetry_space_group_name_H-M 'P -3 m 1'
_symmetry_Int_Tables_number 164
_symmetry_space_group_name_Hall '-P 3 2"'
_cell_length_a 7.6193
_cell_length_b 7.6193
_cell_length_c 6.1936
_cell_angle_alpha 90.00
_cell_angle_beta 90.00
_cell_angle_gamma 120.00
loop_
_atom_site_label
_atom_site_fract_x
_atom_site_fract_y
_atom_site_fract_z
Pr1 0.0000 0.0000 0.0000
Nd1 0.1888 0.3775 0.2881
Tm1 0.3333 0.6667 0.7807
# - crystal system = trigonal
# - ΔE_f (eV per formula unit) = 1.93
# - Fermi-level density of states (states/eV/cell) = 13.8
# - magnetic moment (Bohr magnetons per cell) = 1.072
# - offset from the most stable computed form (eV/atom) = 0.109

=====

No. 2
# GGA-PBE Pr4Nd3Tm, optimized geometry
data_Pr4Nd3Tm
_chemical_formula_sum 'Pr8 Nd6 Tm2'
_symmetry_space_group_name_H-M 'C 1 2/m 1'
_symmetry_Int_Tables_number 12
_cell_length_a 24.694
_cell_length_b 3.691
_cell_length_c 6.381
_cell_angle_alpha 90.00
_cell_angle_beta 104.97
_cell_angle_gamma 90.00
loop_
_symmetry_equiv_pos_as_xyz
'x,y,z'
'-x,-y,-z'
'-x,y,-z'
'x,-y,z'
'x+1/2,y+1/2,z'
'-x+1/2,-y+1/2,-z'
'-x+1/2,y+1/2,-z'
'x+1/2,-y+1/2,z'
loop_
_atom_site_label
_atom_site_fract_x
_atom_site_fract_y
_atom_site_fract_z
Pr1 0.123 0.000 0.455
Pr2 0.124 0.500 0.958
Nd1 0.000 0.000 0.000
Nd2 0.249 0.500 0.749
Tm1 0.000 0.500 0.500
# - crystal system = monoclinic
# - ΔE_f (eV per formula unit) = 0.11
# - Fermi-level density of states (states/eV/cell) = 21.3
# - magnetic moment (Bohr magnetons per cell) = 0.000

=====

No. 3
# GGA-PBE Pr7Nd2Tm, optimized geometry
data_Pr7Nd2Tm
_chemical_formula_sum 'Pr14 Nd4 Tm2'
_symmetry_space_group_name_H-M 'C m m m'
_symmetry_Int_Tables_number 65
_symmetry_space_group_name_Hall '-C 2 2'
_cell_length_a 8.846
_cell_length_b 17.158
_cell_length_c 5.522
_cell_angle_alpha 90.00
_cell_angle_beta 90.00
_cell_angle_gamma 90.00
loop_
_atom_site_label
_atom_site_fract_x
_atom_site_fract_y
_atom_site_fract_z
Pr1 0.000 0.000 0.000
Pr2 0.000 0.286 0.500
Pr3 0.181 0.391 0.000
Nd1 0.000 0.205 0.000
Tm1 0.000 0.500 0.500
# - crystal system = orthorhombic
# - ΔE_f (eV per formula unit) = 6.06
# - Fermi-level density of states (states/eV/cell) = 31.7
# - magnetic moment (Bohr magnetons per cell) = 0.000

=====

No. 4
# GGA-PBE Pr4NdTm3, optimized geometry
data_Pr4NdTm3
_chemical_formula_sum 'Pr8 Nd2 Tm6'
_symmetry_space_group_name_H-M 'P m n a'
_symmetry_Int_Tables_number 53
_cell_length_a 10.275
_cell_length_b 7.238
_cell_length_c 7.232
_cell_angle_alpha 90.00
_cell_angle_beta 90.00
_cell_angle_gamma 90.00
loop_
_symmetry_equiv_pos_as_xyz
'x,y,z'
'-x,-y,-z'
'-x+1/2,-y,z+1/2'
'x+1/2,y,-z+1/2'
'x,-y,-z'
'-x,y,z'
'-x+1/2,y,-z+1/2'
'x+1/2,-y,z+1/2'
loop_
_atom_site_label
_atom_site_fract_x
_atom_site_fract_y
_atom_site_fract_z
Pr1 0.000 0.000 0.000
Pr2 0.000 0.500 0.500
Pr3 0.250 0.248 0.250
Nd1 0.000 0.500 0.000
Tm1 0.000 0.000 0.500
Tm2 0.250 0.247 0.750
# - crystal system = orthorhombic
# - ΔE_f (eV per formula unit) = 0.15
# - Fermi-level density of states (states/eV/cell) = 22.1
# - magnetic moment (Bohr magnetons per cell) = 0.000
# - offset from the most stable computed form (eV/atom) = 0.000

=====

No. 5
# GGA-PBE Pr2Nd3Tm3, optimized geometry
data_Pr2Nd3Tm3
_chemical_formula_sum 'Pr4 Nd6 Tm6'
_symmetry_space_group_name_H-M 'I m m m'
_symmetry_Int_Tables_number 71
_symmetry_space_group_name_Hall '-I 2 2'
_cell_length_a 5.097
_cell_length_b 5.136
_cell_length_c 20.441
_cell_angle_alpha 90.00
_cell_angle_beta 90.00
_cell_angle_gamma 90.00
loop_
_atom_site_label
_atom_site_fract_x
_atom_site_fract_y
_atom_site_fract_z
Pr1 0.000 0.000 0.250
Nd1 0.000 0.000 0.000
Nd2 0.000 0.500 0.122
Tm1 0.000 0.000 0.500
Tm2 0.000 0.500 0.377
# - crystal system = orthorhombic
# - ΔE_f (eV per formula unit) = 0.17
# - Fermi-level density of states (states/eV/cell) = 24.0
# - magnetic moment (Bohr magnetons per cell) = 0.000
# - offset from the most stable computed form (eV/atom) = 0.000

=====

No. 6
# GGA-PBE Pr2Nd6Tm, optimized geometry
data_Pr2Nd6Tm
_chemical_formula_sum 'Pr4 Nd12 Tm2'
_symmetry_space_group_name_H-M 'C m m m'
_symmetry_Int_Tables_number 65
_symmetry_space_group_name_Hall '-C 2 2'
_cell_length_a 10.010
_cell_length_b 17.408
_cell_length_c 3.579
_cell_angle_alpha 90.00
_cell_angle_beta 90.00
_cell_angle_gamma 90.00
loop_
_atom_site_label
_atom_site_fract_x
_atom_site_fract_y
_atom_site_fract_z
Pr1 0.000 0.167 0.000
Nd1 0.166 0.335 0.500
Nd2 0.170 0.000 0.500
Tm1 0.000 0.500 0.000
# - crystal system = orthorhombic
# - ΔE_f (eV per formula unit) = 0.49
# - Fermi-level density of states (states/eV/cell) = 25.9
# - magnetic moment (Bohr magnetons per cell) = 0.000
# - offset from the most stable computed form (eV/atom) = 0.000

=====

No. 7
# GGA-PBE Pr3NdTm6, optimized geometry
data_Pr3NdTm6
_chemical_formula_sum 'Pr6 Nd2 Tm12'
_symmetry_space_group_name_H-M 'C 1 2/m 1'
_symmetry_Int_Tables_number 12
_cell_length_a 11.549
_cell_length_b 6.560
_cell_length_c 9.692
_cell_angle_alpha 90.00
_cell_angle_beta 114.81
_cell_angle_gamma 90.00
loop_
_symmetry_equiv_pos_as_xyz
'x,y,z'
'-x,-y,-z'
'-x,y,-z'
'x,-y,z'
'x+1/2,y+1/2,z'
'-x+1/2,-y+1/2,-z'
'-x+1/2,y+1/2,-z'
'x+1/2,-y+1/2,z'
loop_
_atom_site_label
_atom_site_fract_x
_atom_site_fract_y
_atom_site_fract_z
Pr1 0.000 0.000 0.000
Pr2 0.071 0.000 0.699
Nd1 0.000 0.500 0.500
Tm1 0.136 0.500 0.922
Tm2 0.185 0.253 0.312
# - crystal system = monoclinic
# - ΔE_f (eV per formula unit) = 2.29
# - Fermi-level density of states (states/eV/cell) = 35.5
# - magnetic moment (Bohr magnetons per cell) = 0.000
# - offset from the most stable computed form (eV/atom) = 0.160

=====

No. 8
# GGA-PBE Pr2Nd2Tm5, optimized geometry
data_Pr2Nd2Tm5
_chemical_formula_sum 'Pr8 Nd8 Tm20'
_symmetry_space_group_name_H-M 'I m a 2'
_symmetry_Int_Tables_number 46
_cell_length_a 15.004
_cell_length_b 11.881
_cell_length_c 6.739
_cell_angle_alpha 90.00
_cell_angle_beta 90.00
_cell_angle_gamma 90.00
loop_
_symmetry_equiv_pos_as_xyz
'x,y,z'
'-x,-y,z'
'-x+1/2,y,z'
'x+1/2,-y,z'
'x+1/2,y+1/2,z+1/2'
'-x+1/2,-y+1/2,z+1/2'
'-x,y+1/2,z+1/2'
'x,-y+1/2,z+1/2'
loop_
_atom_site_label
_atom_site_fract_x
_atom_site_fract_y
_atom_site_fract_z
Pr1 0.000 0.000 0.000
Pr2 0.250 0.011 0.102
Nd1 0.127 0.506 0.053
Tm1 0.054 0.740 0.699
Tm2 0.142 0.235 0.890
Tm3 0.250 0.747 0.901
# - crystal system = orthorhombic
# - ΔE_f (eV per formula unit) = 1.82
# - Fermi-level density of states (states/eV/cell) = 57.7
# - magnetic moment (Bohr magnetons per cell) = 0.000
# - offset from the most stable computed form (eV/atom) = 0.000

=====

No. 9
# GGA-PBE Pr4NdTm6, optimized geometry
data_Pr4NdTm6
_chemical_formula_sum 'Pr8 Nd2 Tm12'
_symmetry_space_group_name_H-M 'I -4 2 m'
_symmetry_Int_Tables_number 121
_symmetry_space_group_name_Hall 'I -4 2'
_cell_length_a 6.702
_cell_length_b 6.702
_cell_length_c 16.913
_cell_angle_alpha 90.00
_cell_angle_beta 90.00
_cell_angle_gamma 90.00
loop_
_atom_site_label
_atom_site_fract_x
_atom_site_fract_y
_atom_site_fract_z
Pr1 0.191 0.191 0.176
Nd1 0.000 0.000 0.000
Tm1 0.000 0.500 0.000
Tm2 0.177 0.177 0.378
# - crystal system = tetragonal
# - ΔE_f (eV per formula unit) = 3.34
# - Fermi-level density of states (states/eV/cell) = 27.9
# - magnetic moment (Bohr magnetons per cell) = 0.000
# - offset from the most stable computed form (eV/atom) = 0.150

=====

No. 10
# GGA-PBE Pr2NdTm2, optimized geometry
data_Pr2NdTm2
_chemical_formula_sum 'Pr8 Nd4 Tm8'
_symmetry_space_group_name_H-M 'C 1 2/c 1'
_symmetry_Int_Tables_number 15
_cell_length_a 9.495
_cell_length_b 13.521
_cell_length_c 6.088
_cell_angle_alpha 90.00
_cell_angle_beta 114.14
_cell_angle_gamma 90.00
loop_
_symmetry_equiv_pos_as_xyz
'x,y,z'
'-x,-y,-z'
'-x,y,-z+1/2'
'x,-y,z+1/2'
'x+1/2,y+1/2,z'
'-x+1/2,-y+1/2,-z'
'-x+1/2,y+1/2,-z+1/2'
'x+1/2,-y+1/2,z+1/2'
loop_
_atom_site_label
_atom_site_fract_x
_atom_site_fract_y
_atom_site_fract_z
Pr1 0.184 0.077 0.378
Nd1 0.000 0.432 0.750
Tm1 0.000 0.168 0.750
Tm2 0.000 0.301 0.250
# - crystal system = monoclinic
# - ΔE_f (eV per formula unit) = 1.42
# - Fermi-level density of states (states/eV/cell) = 26.9
# - magnetic moment (Bohr magnetons per cell) = 0.000
# - offset from the most stable computed form (eV/atom) = 0.252

=====

- Which value of magnetic moment does entry 7 give?
  0.000 Bohr magnetons per cell

=====

Repeat the tenth record exactly.
# GGA-PBE Pr2NdTm2, optimized geometry
data_Pr2NdTm2
_chemical_formula_sum 'Pr8 Nd4 Tm8'
_symmetry_space_group_name_H-M 'C 1 2/c 1'
_symmetry_Int_Tables_number 15
_cell_length_a 9.495
_cell_length_b 13.521
_cell_length_c 6.088
_cell_angle_alpha 90.00
_cell_angle_beta 114.14
_cell_angle_gamma 90.00
loop_
_symmetry_equiv_pos_as_xyz
'x,y,z'
'-x,-y,-z'
'-x,y,-z+1/2'
'x,-y,z+1/2'
'x+1/2,y+1/2,z'
'-x+1/2,-y+1/2,-z'
'-x+1/2,y+1/2,-z+1/2'
'x+1/2,-y+1/2,z+1/2'
loop_
_atom_site_label
_atom_site_fract_x
_atom_site_fract_y
_atom_site_fract_z
Pr1 0.184 0.077 0.378
Nd1 0.000 0.432 0.750
Tm1 0.000 0.168 0.750
Tm2 0.000 0.301 0.250
# - crystal system = monoclinic
# - ΔE_f (eV per formula unit) = 1.42
# - Fermi-level density of states (states/eV/cell) = 26.9
# - magnetic moment (Bohr magnetons per cell) = 0.000
# - offset from the most stable computed form (eV/atom) = 0.252

=====

- Look up the Fermi-level density of states of the ninth one.
  27.9 states/eV/cell

=====

- magnetic moment of number 8 (Pr2Nd2Tm5)?
  0.000 Bohr magnetons per cell